Record 1
Here is crystalline Ti4Fe2Si5 at its relaxed geometry from Alexandria. Energies are from PBE. Values from VASP.

Properties
Its uncorrected formation energy is -653 meV per atom. The value obtained for the energy is -7.527 eV per atom. Its symmetry is Ibam, No. 72.

```
&SYSTEM
  ibrav = 0, nat = 22, ntyp = 3
/
ATOMIC_SPECIES
Ti 47.87 Ti.upf
Fe 55.84 Fe.upf
Si 28.09 Si.upf
ATOMIC_POSITIONS crystal
Ti 0.064 0.745 0.809
Ti 0.141 0.106 0.247
Ti 0.359 0.606 0.966
Ti 0.436 0.245 0.682
Ti 0.564 0.755 0.318
Ti 0.641 0.394 0.034
Ti 0.859 0.894 0.753
Ti 0.936 0.255 0.191
Fe 0.057 0.750 0.307
Fe 0.443 0.750 0.693
Fe 0.557 0.250 0.307
Fe 0.943 0.250 0.693
Si 0.070 0.417 0.488
Si 0.219 0.796 0.014
Si 0.250 0.250 0.000
Si 0.281 0.296 0.577
Si 0.430 0.917 0.347
Si 0.570 0.083 0.653
Si 0.719 0.704 0.423
Si 0.750 0.750 0.000
Si 0.781 0.204 0.986
Si 0.930 0.583 0.512
CELL_PARAMETERS angstrom
-3.865 7.930 2.444
3.865 -7.930 2.444
3.865 7.930 -2.444
```

Record 2
Here is crystalline NdFeTc at its relaxed geometry from Alexandria. Energies are from PBE. Values from VASP.

Properties
The value obtained for the energy is -7.661 eV per atom. The calculation puts the formation energy at 0.204 eV/atom. Its symmetry is Imma, No. 74.

```
&SYSTEM
  ibrav = 0, nat = 12, ntyp = 3
/
ATOMIC_SPECIES
Nd 144.24 Nd.upf
Fe 55.84 Fe.upf
Tc 98.00 Tc.upf
ATOMIC_POSITIONS crystal
Nd 0.000 0.250 0.124
Nd 0.000 0.750 0.876
Nd 0.500 0.250 0.376
Nd 0.500 0.750 0.624
Fe 0.000 0.000 0.500
Fe 0.000 0.500 0.500
Fe 0.500 0.000 0.000
Fe 0.500 0.500 0.000
Tc 0.000 0.250 0.693
Tc 0.000 0.750 0.307
Tc 0.500 0.250 0.807
Tc 0.500 0.750 0.193
CELL_PARAMETERS angstrom
4.489 0.000 0.000
0.000 4.955 0.000
0.000 0.000 10.697
```

Record 3
Here is crystalline KAgGe2Br6 at its relaxed geometry from Alexandria. Energies are from PBE. Values from VASP.

Properties
Its uncorrected formation energy is -718 meV per atom. The value obtained for the energy is -3.040 eV per atom. Its symmetry is C2/c, No. 15.

```
&SYSTEM
  ibrav = 0, nat = 20, ntyp = 4
/
ATOMIC_SPECIES
K 39.10 K.upf
Ag 107.87 Ag.upf
Ge 72.64 Ge.upf
Br 79.90 Br.upf
ATOMIC_POSITIONS crystal
K 0.093 0.907 0.750
K 0.907 0.093 0.250
Ag 0.215 0.785 0.250
Ag 0.785 0.215 0.750
Ge 0.279 0.433 0.817
Ge 0.433 0.279 0.317
Ge 0.567 0.721 0.683
Ge 0.721 0.567 0.183
Br 0.030 0.207 0.654
Br 0.151 0.613 0.954
Br 0.207 0.030 0.154
Br 0.306 0.390 0.494
Br 0.387 0.849 0.546
Br 0.390 0.306 0.994
Br 0.610 0.694 0.006
Br 0.613 0.151 0.454
Br 0.694 0.610 0.506
Br 0.793 0.970 0.846
Br 0.849 0.387 0.046
Br 0.970 0.793 0.346
CELL_PARAMETERS angstrom
6.343 -7.283 0.000
6.343 7.283 0.000
-5.008 0.000 8.705
```

Record 4
Here is crystalline CaYC2 at its relaxed geometry from Alexandria. Energies are from PBE. Values from VASP.

Properties
The value obtained for the energy is -5.920 eV per atom. The calculation puts the formation energy at 0.808 eV/atom. Its symmetry is Fm-3m, No. 225. The calculation puts the relative energy among the computed polymorphs at 0.0 meV per atom.

```
&SYSTEM
  ibrav = 0, nat = 16, ntyp = 3
/
ATOMIC_SPECIES
Ca 40.08 Ca.upf
Y 88.91 Y.upf
C 12.01 C.upf
ATOMIC_POSITIONS crystal
Ca 0.000 0.000 0.000
Ca 0.000 0.500 0.500
Ca 0.500 0.000 0.500
Ca 0.500 0.500 0.000
Y 0.000 0.000 0.500
Y 0.000 0.500 0.000
Y 0.500 0.000 0.000
Y 0.500 0.500 0.500
C 0.250 0.250 0.250
C 0.250 0.250 0.750
C 0.250 0.750 0.250
C 0.250 0.750 0.750
C 0.750 0.250 0.250
C 0.750 0.250 0.750
C 0.750 0.750 0.250
C 0.750 0.750 0.750
CELL_PARAMETERS angstrom
6.221 0.000 0.000
0.000 6.221 0.000
0.000 0.000 6.221
```

Record 5
Here is crystalline Cd2Bi3Pb2 at its relaxed geometry from Alexandria. Energies are from PBE. Values from VASP.

Properties
The value obtained for the energy is -2.936 eV per atom. The calculation puts the formation energy at 0.049 eV/atom. Its symmetry is P-1, No. 2.

```
&SYSTEM
  ibrav = 0, nat = 7, ntyp = 3
/
ATOMIC_SPECIES
Cd 112.41 Cd.upf
Bi 208.98 Bi.upf
Pb 207.20 Pb.upf
ATOMIC_POSITIONS crystal
Cd 0.217 0.372 0.074
Cd 0.783 0.628 0.926
Bi 0.351 0.953 0.816
Bi 0.500 0.500 0.500
Bi 0.649 0.047 0.184
Pb 0.077 0.775 0.346
Pb 0.923 0.225 0.654
CELL_PARAMETERS angstrom
5.295 0.000 0.000
-2.047 4.980 0.000
-1.205 -2.681 8.099
```

Record 6
Here is crystalline Fe3Au at its relaxed geometry from Alexandria. Energies are from PBE. Values from VASP.

Properties
The value obtained for the energy is -6.978 eV per atom. The calculation puts the formation energy at 0.188 eV/atom. Its symmetry is C2/m, No. 12.

```
&SYSTEM
  ibrav = 0, nat = 8, ntyp = 2
/
ATOMIC_SPECIES
Fe 55.84 Fe.upf
Au 196.97 Au.upf
ATOMIC_POSITIONS crystal
Fe 0.000 0.000 0.000
Fe 0.250 0.000 0.766
Fe 0.250 0.500 0.234
Fe 0.500 0.500 0.000
Fe 0.750 0.000 0.234
Fe 0.750 0.500 0.766
Au 0.000 0.500 0.500
Au 0.500 0.000 0.500
CELL_PARAMETERS angstrom
8.785 0.000 0.000
0.000 2.656 0.000
-0.682 0.000 4.649
```

Record 7
Here is crystalline Rb2RhSI6 at its relaxed geometry from Alexandria. Energies are from PBE. Values from VASP.

Properties
Its uncorrected formation energy is -507 meV per atom. The value obtained for the energy is -2.778 eV per atom. Its symmetry is I4/mmm, No. 139.

```
&SYSTEM
  ibrav = 0, nat = 10, ntyp = 4
/
ATOMIC_SPECIES
Rb 85.47 Rb.upf
Rh 102.91 Rh.upf
S 32.06 S.upf
I 126.90 I.upf
ATOMIC_POSITIONS crystal
Rb 0.250 0.750 0.500
Rb 0.750 0.250 0.500
Rh 0.000 0.000 0.000
S 0.500 0.500 0.000
I 0.236 0.236 0.473
I 0.236 0.764 0.000
I 0.248 0.248 0.000
I 0.752 0.752 0.000
I 0.764 0.236 0.000
I 0.764 0.764 0.527
CELL_PARAMETERS angstrom
-4.081 4.081 5.543
4.081 -4.081 5.543
4.081 4.081 -5.543
```

Record 8
Here is crystalline Pm2SiSn at its relaxed geometry from Alexandria. Energies are from PBE. Values from VASP.

Properties
Its uncorrected formation energy is -576 meV per atom. The value obtained for the energy is -5.308 eV per atom. Its symmetry is P4/mmm, No. 123.

```
&SYSTEM
  ibrav = 0, nat = 4, ntyp = 3
/
ATOMIC_SPECIES
Pm 145.00 Pm.upf
Si 28.09 Si.upf
Sn 118.71 Sn.upf
ATOMIC_POSITIONS crystal
Pm 0.000 0.000 0.223
Pm 0.000 0.000 0.777
Si 0.500 0.500 0.000
Sn 0.500 0.500 0.500
CELL_PARAMETERS angstrom
3.414 0.000 0.000
0.000 3.414 0.000
0.000 0.000 8.765
```

Record 9
Here is crystalline PIrAu2 at its relaxed geometry from Alexandria. Energies are from PBE. Values from VASP.

Properties
The value obtained for the energy is -5.306 eV per atom. The calculation puts the formation energy at -0.100 eV/atom. Its symmetry is R3m, No. 160.

```
&SYSTEM
  ibrav = 0, nat = 12, ntyp = 3
/
ATOMIC_SPECIES
P 30.97 P.upf
Ir 192.22 Ir.upf
Au 196.97 Au.upf
ATOMIC_POSITIONS crystal
P 0.000 0.000 0.000
P 0.333 0.667 0.667
P 0.667 0.333 0.333
Ir 0.000 0.000 0.719
Ir 0.333 0.667 0.386
Ir 0.667 0.333 0.053
Au 0.000 0.000 0.144
Au 0.000 0.000 0.901
Au 0.333 0.667 0.568
Au 0.333 0.667 0.810
Au 0.667 0.333 0.235
Au 0.667 0.333 0.477
CELL_PARAMETERS angstrom
3.251 0.000 0.000
-1.625 2.815 0.000
0.000 0.000 23.758
```

Record 10
Here is crystalline Hf2CrCuSe at its relaxed geometry from Alexandria. Energies are from PBE. Values from VASP.

Properties
Its uncorrected formation energy is 737 meV per atom. The value obtained for the energy is -6.685 eV per atom. Its symmetry is P4/mmm, No. 123.

```
&SYSTEM
  ibrav = 0, nat = 5, ntyp = 4
/
ATOMIC_SPECIES
Hf 178.49 Hf.upf
Cr 52.00 Cr.upf
Cu 63.55 Cu.upf
Se 78.96 Se.upf
ATOMIC_POSITIONS crystal
Hf 0.000 0.500 0.000
Hf 0.500 0.000 0.000
Cr 0.000 0.000 0.500
Cu 0.000 0.000 0.000
Se 0.500 0.500 0.500
CELL_PARAMETERS angstrom
4.841 0.000 0.000
0.000 4.841 0.000
0.000 0.000 4.342
```

Record 11
Here is crystalline Na2SrTeH at its relaxed geometry from Alexandria. Energies are from PBE. Values from VASP.

Properties
The value obtained for the energy is -2.759 eV per atom. Its symmetry is P4/mmm, No. 123.

```
&SYSTEM
  ibrav = 0, nat = 5, ntyp = 4
/
ATOMIC_SPECIES
Na 22.99 Na.upf
Sr 87.62 Sr.upf
Te 127.60 Te.upf
H 1.01 H.upf
ATOMIC_POSITIONS crystal
Na 0.000 0.500 0.000
Na 0.500 0.000 0.000
Sr 0.000 0.000 0.500
Te 0.500 0.500 0.500
H 0.000 0.000 0.000
CELL_PARAMETERS angstrom
4.832 0.000 0.000
0.000 4.832 0.000
0.000 0.000 5.215
```

Record 12
Here is crystalline Pr3AgO6 at its relaxed geometry from Alexandria. Energies are from PBE. Values from VASP.

Properties
Its uncorrected formation energy is -2432 meV per atom. The value obtained for the energy is -7.126 eV per atom. Its symmetry is Cmc2_1, No. 36.

```
&SYSTEM
  ibrav = 0, nat = 20, ntyp = 3
/
ATOMIC_SPECIES
Pr 140.91 Pr.upf
Ag 107.87 Ag.upf
O 16.00 O.upf
ATOMIC_POSITIONS crystal
Pr 0.104 0.896 0.500
Pr 0.183 0.411 0.445
Pr 0.411 0.183 0.945
Pr 0.589 0.817 0.445
Pr 0.817 0.589 0.945
Pr 0.896 0.104 0.000
Ag 0.359 0.641 0.947
Ag 0.641 0.359 0.447
O 0.093 0.604 0.741
O 0.145 0.172 0.720
O 0.172 0.145 0.220
O 0.279 0.721 0.271
O 0.396 0.907 0.741
O 0.484 0.516 0.671
O 0.516 0.484 0.171
O 0.604 0.093 0.241
O 0.721 0.279 0.771
O 0.828 0.855 0.720
O 0.855 0.828 0.220
O 0.907 0.396 0.241
CELL_PARAMETERS angstrom
4.711 -5.829 0.000
4.711 5.829 0.000
0.000 0.000 5.802
```

Q: What is the energy in the eighth record?
A: -5.308 eV per atom

Copy entry 3 word for word.
Here is crystalline KAgGe2Br6 at its relaxed geometry from Alexandria. Energies are from PBE. Values from VASP.

Properties
Its uncorrected formation energy is -718 meV per atom. The value obtained for the energy is -3.040 eV per atom. Its symmetry is C2/c, No. 15.

```
&SYSTEM
  ibrav = 0, nat = 20, ntyp = 4
/
ATOMIC_SPECIES
K 39.10 K.upf
Ag 107.87 Ag.upf
Ge 72.64 Ge.upf
Br 79.90 Br.upf
ATOMIC_POSITIONS crystal
K 0.093 0.907 0.750
K 0.907 0.093 0.250
Ag 0.215 0.785 0.250
Ag 0.785 0.215 0.750
Ge 0.279 0.433 0.817
Ge 0.433 0.279 0.317
Ge 0.567 0.721 0.683
Ge 0.721 0.567 0.183
Br 0.030 0.207 0.654
Br 0.151 0.613 0.954
Br 0.207 0.030 0.154
Br 0.306 0.390 0.494
Br 0.387 0.849 0.546
Br 0.390 0.306 0.994
Br 0.610 0.694 0.006
Br 0.613 0.151 0.454
Br 0.694 0.610 0.506
Br 0.793 0.970 0.846
Br 0.849 0.387 0.046
Br 0.970 0.793 0.346
CELL_PARAMETERS angstrom
6.343 -7.283 0.000
6.343 7.283 0.000
-5.008 0.000 8.705
```

Q: The highest energy belongs to which entry?
A: Na2SrTeH

Q: energy of number 4 (CaYC2)?
A: -5.920 eV per atom